1.
Below is an optimized crystal structure of Ca3Ga2P4, with properties calculated at the GGA-PBEsol level.

```
Ca3Ga2P4
1.0
6.260 -4.893 0.000
6.260 4.893 0.000
-0.156 0.000 6.374
Ca Ga P
6 4 8
direct
0.100 0.900 0.750
0.252 0.505 0.025
0.495 0.748 0.475
0.505 0.252 0.525
0.748 0.495 0.975
0.900 0.100 0.250
0.081 0.325 0.592
0.325 0.081 0.092
0.675 0.919 0.908
0.919 0.675 0.408
0.064 0.243 0.941
0.216 0.559 0.522
0.243 0.064 0.441
0.441 0.784 0.978
0.559 0.216 0.022
0.757 0.936 0.559
0.784 0.441 0.478
0.936 0.757 0.059
```

The total moment is 0.0 μB per formula unit. For the total energy, the calculation gives -0.36120 Ry/atom. As for the crystal system: monoclinic. As for the calculated volume: 390.5 Å³/cell.


2.
Below is an optimized crystal structure of Ca2GaP, with properties calculated at the GGA-PBEsol level.

```
Ca2GaP
1.0
7.074 0.000 0.000
0.000 7.074 0.000
0.000 0.000 7.074
Ca Ga P
8 4 4
direct
0.250 0.250 0.250
0.250 0.250 0.750
0.250 0.750 0.250
0.250 0.750 0.750
0.750 0.250 0.250
0.750 0.250 0.750
0.750 0.750 0.250
0.750 0.750 0.750
0.000 0.000 0.000
0.000 0.500 0.500
0.500 0.000 0.500
0.500 0.500 0.000
0.000 0.000 0.500
0.000 0.500 0.000
0.500 0.000 0.000
0.500 0.500 0.500
```

The total moment is 0.0 μB per formula unit. For the total energy, the calculation gives -0.28723 Ry/atom. As for the crystal system: cubic. As for the calculated volume: 354.0 Å³/cell.


3.
Below is an optimized crystal structure of CaGa2SbP, with properties calculated at the GGA-PBEsol level.

```
CaGa2SbP
1.0
5.198 0.000 0.000
0.000 5.198 0.000
0.000 0.000 5.263
Ca Ga Sb P
1 2 1 1
direct
0.000 0.000 0.000
0.000 0.500 0.500
0.500 0.000 0.500
0.500 0.500 0.500
0.500 0.500 0.000
```

The total moment is 0.0 μB per formula unit. For the total energy, the calculation gives -0.25737 Ry/atom. As for the crystal system: tetragonal. As for the calculated volume: 142.2 Å³/cell. The uncorrected formation energy is 0.331 eV per atom.


4.
Below is an optimized crystal structure of Ca3GaPb, with properties calculated at the GGA-PBEsol level.

```
Ca3GaPb
1.0
5.580 0.000 0.000
0.000 5.580 0.000
0.000 0.000 5.580
Ca Ga Pb
3 1 1
direct
0.000 0.000 0.500
0.000 0.500 0.000
0.500 0.000 0.000
0.000 0.000 0.000
0.500 0.500 0.500
```

The total moment is 0.0 μB per formula unit. For the total energy, the calculation gives -0.21010 Ry/atom. As for the crystal system: cubic. As for the calculated volume: 173.7 Å³/cell.


5.
Below is an optimized crystal structure of CaGaPbSe2, with properties calculated at the GGA-PBEsol level.

```
CaGaPbSe2
1.0
5.585 0.000 0.000
0.000 5.585 0.000
0.000 0.000 5.619
Ca Ga Pb Se
1 1 1 2
direct
0.000 0.000 0.000
0.500 0.500 0.000
0.000 0.000 0.500
0.000 0.500 0.500
0.500 0.000 0.500
```

The total moment is 0.0 μB per formula unit. For the total energy, the calculation gives -0.23260 Ry/atom. As for the crystal system: tetragonal. As for the calculated volume: 175.3 Å³/cell. The uncorrected formation energy is 0.270 eV per atom.


6.
Below is an optimized crystal structure of Ca2YGaPb, with properties calculated at the GGA-PBEsol level.

```
Ca2YGaPb
1.0
5.797 0.000 0.000
0.000 5.797 0.000
0.000 0.000 5.762
Ca Y Ga Pb
2 1 1 1
direct
0.000 0.500 0.000
0.500 0.000 0.000
0.000 0.000 0.500
0.500 0.500 0.500
0.000 0.000 0.000
```

The total moment is 0.0 μB per formula unit. For the total energy, the calculation gives -0.25717 Ry/atom. As for the crystal system: tetragonal. As for the calculated volume: 193.6 Å³/cell.


7.
Below is an optimized crystal structure of Ca2GaPd2, with properties calculated at the GGA-PBEsol level.

```
Ca2GaPd2
1.0
4.887 -2.819 0.000
4.887 2.819 0.000
-1.752 0.000 7.530
Ca Ga Pd
4 2 4
direct
0.014 0.285 0.149
0.285 0.014 0.649
0.715 0.986 0.351
0.986 0.715 0.851
0.364 0.636 0.250
0.636 0.364 0.750
0.239 0.504 0.498
0.496 0.761 0.002
0.504 0.239 0.998
0.761 0.496 0.502
```

The total moment is 0.0 μB per formula unit. For the total energy, the calculation gives -0.34316 Ry/atom. As for the crystal system: monoclinic. As for the calculated volume: 207.4 Å³/cell.


8.
Below is an optimized crystal structure of Ca3Ga2Pd2, with properties calculated at the GGA-PBEsol level.

```
Ca3Ga2Pd2
1.0
5.729 0.000 0.000
0.000 7.834 0.000
0.000 0.000 13.691
Ca Ga Pd
12 8 8
direct
0.135 0.244 0.250
0.135 0.256 0.750
0.359 0.606 0.599
0.359 0.606 0.901
0.359 0.894 0.099
0.359 0.894 0.401
0.641 0.106 0.599
0.641 0.106 0.901
0.641 0.394 0.099
0.641 0.394 0.401
0.865 0.744 0.250
0.865 0.756 0.750
0.130 0.250 0.000
0.130 0.250 0.500
0.352 0.594 0.250
0.352 0.906 0.750
0.648 0.094 0.250
0.648 0.406 0.750
0.870 0.750 0.000
0.870 0.750 0.500
0.132 0.533 0.092
0.132 0.533 0.408
0.132 0.967 0.592
0.132 0.967 0.908
0.868 0.033 0.092
0.868 0.033 0.408
0.868 0.467 0.592
0.868 0.467 0.908
```

The total moment is 0.0 μB per formula unit. For the total energy, the calculation gives -0.31439 Ry/atom. As for the crystal system: orthorhombic. As for the calculated volume: 614.5 Å³/cell.


9.
Below is an optimized crystal structure of CaGa3Pd, with properties calculated at the GGA-PBEsol level.

```
CaGa3Pd
1.0
4.773 0.000 0.000
0.000 4.773 0.000
0.000 0.000 4.773
Ca Ga Pd
1 3 1
direct
0.000 0.000 0.000
0.000 0.500 0.500
0.500 0.000 0.500
0.500 0.500 0.000
0.500 0.500 0.500
```

The total moment is 0.0 μB per formula unit. For the total energy, the calculation gives -0.28641 Ry/atom. As for the crystal system: cubic. As for the calculated volume: 108.7 Å³/cell.


10.
Below is an optimized crystal structure of CaGaPt, with properties calculated at the GGA-PBEsol level.

```
CaGaPt
1.0
7.043 0.000 0.000
0.000 4.345 0.000
0.000 0.000 7.591
Ca Ga Pt
4 4 4
direct
0.015 0.250 0.186
0.485 0.750 0.686
0.515 0.250 0.314
0.985 0.750 0.814
0.159 0.250 0.573
0.341 0.750 0.073
0.659 0.250 0.927
0.841 0.750 0.427
0.210 0.750 0.391
0.290 0.250 0.891
0.710 0.750 0.109
0.790 0.250 0.609
```

The total moment is 0.0 μB per formula unit. For the total energy, the calculation gives -0.37130 Ry/atom. As for the crystal system: orthorhombic. As for the calculated volume: 232.3 Å³/cell.


11.
Below is an optimized crystal structure of CaGaPt3, with properties calculated at the GGA-PBEsol level.

```
CaGaPt3
1.0
4.643 0.000 0.000
0.000 4.643 0.000
0.000 0.000 4.643
Ca Ga Pt
1 1 3
direct
0.000 0.000 0.000
0.500 0.500 0.500
0.000 0.500 0.500
0.500 0.000 0.500
0.500 0.500 0.000
```

The total moment is 0.0 μB per formula unit. For the total energy, the calculation gives -0.40004 Ry/atom. As for the crystal system: cubic. As for the calculated volume: 100.1 Å³/cell.


12.
Below is an optimized crystal structure of CaGa5Pt2, with properties calculated at the GGA-PBEsol level.

```
CaGa5Pt2
1.0
3.925 0.000 0.000
0.000 7.399 0.000
0.000 0.000 9.844
Ca Ga Pt
2 10 4
direct
0.000 0.000 0.000
0.500 0.500 0.500
0.000 0.196 0.355
0.000 0.196 0.645
0.000 0.500 0.000
0.000 0.804 0.355
0.000 0.804 0.645
0.500 0.000 0.500
0.500 0.304 0.145
0.500 0.304 0.855
0.500 0.696 0.145
0.500 0.696 0.855
0.000 0.500 0.246
0.000 0.500 0.754
0.500 0.000 0.254
0.500 0.000 0.746
```

The total moment is 0.0 μB per formula unit. For the total energy, the calculation gives -0.34740 Ry/atom. As for the crystal system: orthorhombic. As for the calculated volume: 285.9 Å³/cell.


13.
Below is an optimized crystal structure of CaGa4Pt, with properties calculated at the GGA-PBEsol level.

```
CaGa4Pt
1.0
2.126 -7.683 0.000
2.126 7.683 0.000
0.000 0.000 6.638
Ca Ga Pt
2 8 2
direct
0.129 0.871 0.750
0.871 0.129 0.250
0.059 0.941 0.250
0.322 0.678 0.549
0.322 0.678 0.951
0.500 0.500 0.000
0.500 0.500 0.500
0.678 0.322 0.049
0.678 0.322 0.451
0.941 0.059 0.750
0.219 0.781 0.250
0.781 0.219 0.750
```

The total moment is 0.0 μB per formula unit. For the total energy, the calculation gives -0.31979 Ry/atom. As for the crystal system: orthorhombic. As for the calculated volume: 216.8 Å³/cell.


14.
Below is an optimized crystal structure of CaGa3Rh, with properties calculated at the GGA-PBEsol level.

```
CaGa3Rh
1.0
4.712 0.000 0.000
0.000 4.712 0.000
0.000 0.000 4.712
Ca Ga Rh
1 3 1
direct
0.000 0.000 0.000
0.000 0.500 0.500
0.500 0.000 0.500
0.500 0.500 0.000
0.500 0.500 0.500
```

The total moment is 0.0 μB per formula unit. For the total energy, the calculation gives -0.32534 Ry/atom. As for the crystal system: cubic. As for the calculated volume: 104.6 Å³/cell.


15.
Below is an optimized crystal structure of Ca3Ga3Rh2, with properties calculated at the GGA-PBEsol level.

```
Ca3Ga3Rh2
1.0
7.988 0.000 0.000
0.000 14.733 0.000
0.000 0.000 5.726
Ca Ga Rh
12 12 8
direct
0.046 0.109 0.113
0.046 0.391 0.113
0.197 0.250 0.618
0.303 0.750 0.118
0.454 0.609 0.613
0.454 0.891 0.613
0.546 0.109 0.387
0.546 0.391 0.387
0.697 0.250 0.882
0.803 0.750 0.382
0.954 0.609 0.887
0.954 0.891 0.887
0.148 0.750 0.584
0.181 0.040 0.622
0.181 0.460 0.622
0.319 0.540 0.122
0.319 0.960 0.122
0.352 0.250 0.084
0.648 0.750 0.916
0.681 0.040 0.878
0.681 0.460 0.878
0.819 0.540 0.378
0.819 0.960 0.378
0.852 0.250 0.416
0.108 0.598 0.397
0.108 0.902 0.397
0.392 0.098 0.897
0.392 0.402 0.897
0.608 0.598 0.103
0.608 0.902 0.103
0.892 0.098 0.603
0.892 0.402 0.603
```

The total moment is 0.0 μB per formula unit. For the total energy, the calculation gives -0.34678 Ry/atom. As for the crystal system: orthorhombic. As for the calculated volume: 673.9 Å³/cell.


16.
Below is an optimized crystal structure of Ca3GaRh, with properties calculated at the GGA-PBEsol level.

```
Ca3GaRh
1.0
5.384 0.000 0.000
0.000 5.384 0.000
0.000 0.000 5.384
Ca Ga Rh
3 1 1
direct
0.000 0.000 0.500
0.000 0.500 0.000
0.500 0.000 0.000
0.000 0.000 0.000
0.500 0.500 0.500
```

The total moment is 0.0 μB per formula unit. For the total energy, the calculation gives -0.22626 Ry/atom. As for the crystal system: cubic. As for the calculated volume: 156.1 Å³/cell.


17.
Below is an optimized crystal structure of CaGa2S4, with properties calculated at the GGA-PBEsol level.

```
CaGa2S4
1.0
2.983 -4.987 0.000
2.983 4.987 0.000
0.000 0.000 10.030
Ca Ga S
2 4 8
direct
0.000 0.000 0.250
0.000 0.000 0.750
0.265 0.731 0.000
0.269 0.735 0.500
0.731 0.265 0.500
0.735 0.269 0.000
0.000 0.500 0.173
0.000 0.500 0.827
0.148 0.303 0.500
0.303 0.148 0.000
0.500 0.000 0.327
0.500 0.000 0.673
0.697 0.852 0.000
0.852 0.697 0.500
```

The total moment is 0.0 μB per formula unit. For the total energy, the calculation gives -0.36057 Ry/atom. As for the crystal system: orthorhombic. The value obtained for the polymorph energy (0 for the lowest one) is 0.014 eV per atom. As for the calculated volume: 298.5 Å³/cell. The uncorrected formation energy is -1.142 eV per atom.


18.
Below is an optimized crystal structure of CaGa2S4, with properties calculated at the GGA-PBEsol level.

```
CaGa2S4
1.0
0.000 9.949 9.970
6.014 0.000 9.970
6.014 9.949 0.000
Ca Ga S
8 16 32
direct
0.123 0.123 0.627
0.125 0.125 0.125
0.373 0.373 0.877
0.375 0.375 0.375
0.625 0.625 0.625
0.627 0.627 0.123
0.875 0.875 0.875
0.877 0.877 0.373
0.031 0.469 0.860
0.113 0.386 0.365
0.140 0.859 0.969
0.141 0.860 0.469
0.363 0.635 0.614
0.365 0.637 0.113
0.386 0.113 0.637
0.469 0.031 0.141
0.531 0.969 0.859
0.614 0.887 0.363
0.635 0.363 0.887
0.637 0.365 0.386
0.859 0.140 0.531
0.860 0.141 0.031
0.887 0.614 0.635
0.969 0.531 0.140
0.086 0.088 0.415
0.088 0.086 0.911
0.088 0.585 0.412
0.089 0.585 0.912
0.153 0.845 0.661
0.155 0.847 0.159
0.159 0.339 0.155
0.181 0.316 0.651
0.316 0.181 0.351
0.339 0.159 0.847
0.349 0.649 0.819
0.351 0.651 0.316
0.412 0.415 0.088
0.415 0.412 0.585
0.415 0.911 0.086
0.415 0.912 0.585
0.585 0.088 0.415
0.585 0.089 0.914
0.585 0.588 0.415
0.588 0.585 0.912
0.649 0.349 0.684
0.651 0.351 0.181
0.661 0.841 0.153
0.684 0.819 0.649
0.819 0.684 0.349
0.841 0.661 0.845
0.845 0.153 0.841
0.847 0.155 0.339
0.911 0.415 0.088
0.912 0.415 0.588
0.912 0.914 0.089
0.914 0.912 0.585
```

The total moment is 0.0 μB per formula unit. For the total energy, the calculation gives -0.36161 Ry/atom. As for the crystal system: orthorhombic. The value obtained for the polymorph energy (0 for the lowest one) is 0.000 eV per atom. As for the calculated volume: 1193.0 Å³/cell. The uncorrected formation energy is -1.156 eV per atom.